1.
Here is a relaxed structure of SmTmPd2 from Alexandria via LeMat-Bulk. Energies are from GGA-PBE.

```
SmTmPd2
1.0
3.461 0.000 0.000
0.000 3.461 0.000
0.000 0.000 7.278
Sm Tm Pd
1 1 2
Direct
0.000 0.000 0.000
0.000 0.000 0.500
0.500 0.500 0.269
0.500 0.500 0.731
```

Polymorph energy (0 for the lowest one): 39.2 meV per atom
Energy of formation: -0.8538 eV per atom

2.
Here is a relaxed structure of PmY3Tm2Bi6 from Alexandria via LeMat-Bulk. Energies are from GGA-PBE.

```
PmY3Tm2Bi6
1.0
3.883 -6.728 0.000
3.883 6.728 0.000
-2.589 0.000 7.318
Pm Y Tm Bi
1 3 2 6
Direct
0.000 0.000 0.000
0.164 0.836 0.500
0.500 0.500 0.500
0.836 0.164 0.500
0.332 0.668 0.000
0.668 0.332 0.000
0.084 0.423 0.250
0.257 0.257 0.752
0.423 0.084 0.250
0.577 0.916 0.750
0.743 0.743 0.248
0.916 0.577 0.750
```

Energy of formation: -0.8630 eV per atom

3.
Here is a relaxed structure of HgRhCl2 from Alexandria via LeMat-Bulk. Energies are from GGA-PBE.

```
HgRhCl2
1.0
3.798 0.000 0.000
0.000 3.798 0.000
0.000 0.000 11.672
Hg Rh Cl
2 2 4
Direct
0.000 0.000 0.000
0.500 0.500 0.500
0.000 0.500 0.750
0.500 0.000 0.250
0.000 0.000 0.500
0.000 0.500 0.250
0.500 0.000 0.750
0.500 0.500 0.000
```

Formation energy from raw total energies: 0.314 eV per atom
Polymorph energy (0 for the lowest one): 611.3 meV per atom

4.
Here is a relaxed structure of CaCo2Hg from Alexandria via LeMat-Bulk. Energies are from GGA-PBE.

```
CaCo2Hg
1.0
5.801 0.000 0.000
0.000 8.886 0.000
-1.116 0.000 2.705
Ca Co Hg
2 4 2
Direct
0.000 0.000 0.000
0.500 0.500 0.000
0.250 0.250 0.500
0.250 0.750 0.500
0.750 0.250 0.500
0.750 0.750 0.500
0.000 0.500 0.000
0.500 0.000 0.000
```

Energy of formation: 0.5328 eV per atom

| no. | electronic total energy (Ha/atom) |
| --- | --- |
| 1 | -0.211 |
| 2 | -0.204 |
| 3 | -0.093 |
| 4 | -0.132 |